1.
Below is crystalline BaZnSe at its relaxed geometry, with properties calculated at the PBEsol level.

abc: 4.648 4.648 4.620
angles: 90.00 90.00 120.00
Atoms (fractional coordinates):
Ba1 0.000 0.000 0.017
Se1 0.333 0.667 0.586
Zn1 0.667 0.333 0.397

## Properties
ΔE_f (raw): -84.9 kJ/mol of atoms
V: 28.82 Å³ per atom
SG: P3m1 (156)

---

2.
Below is crystalline BaZn2Se at its relaxed geometry, with properties calculated at the PBEsol level.

abc: 4.634 5.336 5.336
angles: 69.16 64.26 64.26
Atoms (fractional coordinates):
Ba1 0.494 0.506 0.506
Se1 0.300 0.200 0.200
Zn1 0.022 0.978 0.978
Zn2 0.684 0.816 0.816

## Properties
ΔE_f (raw): -47.6 kJ/mol of atoms
V: 26.19 Å³ per atom
SG: Imm2 (44)

---

3.
Below is crystalline BaZrSe at its relaxed geometry, with properties calculated at the PBEsol level.

abc: 4.597 4.597 4.977
angles: 90.00 90.00 120.00
Last column: magnetic moment on the atom in μB.
Atoms (fractional coordinates):
Ba1 0.000 0.000 0.000  0.12
Se1 0.667 0.333 0.500  -0.02
Zr1 0.333 0.667 0.500  0.69

## Properties
ΔE_f (raw): -47.1 kJ/mol of atoms
V: 30.36 Å³ per atom
E above lowest polymorph: 0 meV/atom
SG: P-6m2 (187)

---

4.
Below is crystalline BaZrSe3 at its relaxed geometry, with properties calculated at the PBEsol level.

abc: 5.207 5.207 5.207
angles: 90.00 90.00 90.00
Atoms (fractional coordinates):
Se1 0.000 0.500 0.000
Se2 0.000 0.000 0.500
Se3 0.500 0.000 0.000
Ba1 0.500 0.500 0.500
Zr1 0.000 0.000 0.000

## Properties
ΔE_f (raw): -152.5 kJ/mol of atoms
V: 28.24 Å³ per atom
SG: Pm-3m (221)

---

5.
Below is crystalline BaZr4Se at its relaxed geometry, with properties calculated at the PBEsol level.

abc: 5.979 5.979 5.979
angles: 60.00 60.00 60.00
Atoms (fractional coordinates):
Ba1 0.750 0.750 0.750
Se1 0.000 0.000 0.000
Zr1 0.378 0.378 0.378
Zr2 0.378 0.378 0.867
Zr3 0.867 0.378 0.378
Zr4 0.378 0.867 0.378

## Properties
ΔE_f (raw): 45.6 kJ/mol of atoms
V: 25.19 Å³ per atom
SG: F-43m (216)

---

6.
Below is crystalline BaZrSe3 at its relaxed geometry, with properties calculated at the PBEsol level.

abc: 4.001 8.959 14.880
angles: 90.00 90.00 90.00
Atoms (fractional coordinates):
Ba1 0.250 0.932 0.326
Ba2 0.750 0.068 0.674
Ba3 0.250 0.432 0.174
Ba4 0.750 0.568 0.826
Zr1 0.750 0.838 0.060
Zr2 0.250 0.162 0.940
Zr3 0.750 0.338 0.440
Zr4 0.250 0.662 0.560
Se1 0.250 0.667 0.995
Se2 0.750 0.333 0.005
Se3 0.250 0.167 0.505
Se4 0.750 0.833 0.495
Se5 0.750 0.971 0.893
Se6 0.250 0.029 0.107
Se7 0.750 0.471 0.607
Se8 0.250 0.529 0.393
Se9 0.750 0.712 0.215
Se10 0.250 0.288 0.785
Se11 0.750 0.212 0.285
Se12 0.250 0.788 0.715

## Properties
ΔE_f (raw): -160.2 kJ/mol of atoms
V: 26.67 Å³ per atom
SG: Pnma (62)

---

7.
Below is crystalline BaZrSe at its relaxed geometry, with properties calculated at the PBEsol level.

abc: 5.292 5.292 5.292
angles: 60.00 60.00 60.00
Last column: magnetic moment on the atom in μB.
Atoms (fractional coordinates):
Ba1 0.250 0.250 0.250  0.40
Se1 0.000 0.000 0.000  -0.04
Zr1 0.500 0.500 0.500  1.91

## Properties
ΔE_f (raw): 62.1 kJ/mol of atoms
V: 34.93 Å³ per atom
E above lowest polymorph: 1132 meV/atom
SG: F-43m (216)

---

8.
Below is crystalline BaZrSe at its relaxed geometry, with properties calculated at the PBEsol level.

abc: 4.787 4.787 4.787
angles: 60.00 60.00 60.00
Atoms (fractional coordinates):
Ba1 0.000 0.000 0.000
Se1 0.500 0.500 0.500
Zr1 0.250 0.250 0.250

## Properties
ΔE_f (raw): 15.2 kJ/mol of atoms
V: 25.85 Å³ per atom
E above lowest polymorph: 646 meV/atom
SG: F-43m (216)

---

9.
Below is crystalline BaSi2 at its relaxed geometry, with properties calculated at the PBEsol level.

abc: 6.658 8.865 11.385
angles: 90.00 90.00 90.00
Atoms (fractional coordinates):
Si1 0.750 0.305 0.465
Si2 0.250 0.195 0.965
Si3 0.250 0.695 0.535
Si4 0.750 0.805 0.035
Si5 0.750 0.084 0.593
Si6 0.250 0.416 0.093
Si7 0.250 0.916 0.407
Si8 0.750 0.584 0.907
Si9 0.570 0.309 0.647
Si10 0.430 0.191 0.147
Si11 0.070 0.691 0.353
Si12 0.930 0.809 0.853
Si13 0.430 0.691 0.353
Si14 0.570 0.809 0.853
Si15 0.930 0.309 0.647
Si16 0.070 0.191 0.147
Ba1 0.750 0.484 0.190
Ba2 0.250 0.016 0.690
Ba3 0.250 0.516 0.810
Ba4 0.750 0.984 0.310
Ba5 0.750 0.661 0.594
Ba6 0.250 0.839 0.094
Ba7 0.250 0.339 0.406
Ba8 0.750 0.161 0.906

## Properties
ΔE_f (raw): -36.6 kJ/mol of atoms
V: 28.00 Å³ per atom
SG: Pnma (62)

---

10.
Below is crystalline Ba2Si at its relaxed geometry, with properties calculated at the PBEsol level.

abc: 4.550 5.652 8.413
angles: 90.00 105.69 90.00
Atoms (fractional coordinates):
Ba1 0.750 0.750 0.499
Ba2 0.445 0.750 0.890
Ba3 0.250 0.250 0.501
Ba4 0.555 0.250 0.110
Si1 0.111 0.750 0.222
Si2 0.889 0.250 0.778

## Properties
ΔE_f (raw): -14.1 kJ/mol of atoms
V: 34.72 Å³ per atom
SG: Cmcm (63)

---

11.
Below is crystalline BaSi2 at its relaxed geometry, with properties calculated at the PBEsol level.

abc: 3.618 3.618 5.675
angles: 90.00 90.00 90.00
Atoms (fractional coordinates):
Si1 0.000 0.500 0.000
Si2 0.500 0.000 0.000
Ba1 0.000 0.000 0.500

## Properties
ΔE_f (raw): 1.1 kJ/mol of atoms
V: 24.76 Å³ per atom
SG: P4/mmm (123)

---

12.
Below is crystalline BaSi6 at its relaxed geometry, with properties calculated at the PBEsol level.

abc: 4.476 5.623 11.864
angles: 90.00 90.00 113.45
Atoms (fractional coordinates):
Si1 0.753 0.507 0.037
Si2 0.247 0.493 0.537
Si3 0.753 0.507 0.463
Si4 0.247 0.493 0.963
Si5 0.441 0.883 0.853
Si6 0.559 0.117 0.353
Si7 0.441 0.883 0.647
Si8 0.559 0.117 0.147
Si9 0.978 0.955 0.099
Si10 0.022 0.045 0.599
Si11 0.978 0.955 0.401
Si12 0.022 0.045 0.901
Ba1 0.726 0.452 0.750
Ba2 0.274 0.548 0.250

## Properties
ΔE_f (raw): -14.9 kJ/mol of atoms
V: 19.57 Å³ per atom
SG: Cmcm (63)